A relaxed structure of Hf2ZrP. Source: Alexandria via LeMat-Bulk, functional PBE.

a b c (Å): 8.005 8.005 6.265
angles (deg): 50.29 50.29 90.00
Fractional coordinates of all 8 atoms:
P: 0.500 0.500 0.000
P: 0.250 0.750 0.500
Hf: 0.554 0.125 0.250
Hf: 0.875 0.804 0.750
Hf: 0.196 0.625 0.250
Hf: 0.375 0.446 0.750
Zr: 0.750 0.250 0.500
Zr: 0.000 0.000 0.000

- E_tot: -8.739 eV/atom
- Space group: I-42d, No. 122
- ΔH_f (0 K): -26.30 kJ/mol of atoms
- Fermi-level density of states: 10.0 states/eV per cell

=====

A relaxed structure of Hf3ZrP. Source: Alexandria via LeMat-Bulk, functional PBE.

a b c (Å): 5.085 5.085 5.085
angles (deg): 90.00 90.00 90.00
Fractional coordinates of all 5 atoms:
Hf: 0.000 0.500 0.000
Hf: 0.500 0.000 0.000
Hf: 0.000 0.000 0.500
P: 0.500 0.500 0.500
Zr: 0.000 0.000 0.000

- Energy above the lowest structure with this stoichiometry: 1898 meV/atom
- E_tot: -7.336 eV/atom
- Space group: Pm-3m, No. 221
- ΔH_f (0 K): 137.71 kJ/mol of atoms
- Fermi-level density of states: 8.5 states/eV per cell

=====

A relaxed structure of HfZr3P. Source: Alexandria via LeMat-Bulk, functional PBE.

a b c (Å): 4.902 4.902 4.902
angles (deg): 90.00 90.00 90.00
Fractional coordinates of all 5 atoms:
Zr: 0.000 0.500 0.000
Zr: 0.500 0.000 0.000
Zr: 0.000 0.000 0.500
Hf: 0.500 0.500 0.500
P: 0.000 0.000 0.000

- Energy above the lowest structure with this stoichiometry: 0 meV/atom
- E_tot: -8.473 eV/atom
- Space group: Pm-3m, No. 221
- ΔH_f (0 K): -26.23 kJ/mol of atoms
- Fermi-level density of states: 5.3 states/eV per cell

=====

A relaxed structure of Hf3ZrP. Source: Alexandria via LeMat-Bulk, functional PBE.

a b c (Å): 6.620 6.620 6.552
angles (deg): 103.99 120.33 105.13
Fractional coordinates of all 10 atoms:
Hf: 0.834 0.055 0.274
Hf: 0.166 0.945 0.726
Hf: 0.219 0.440 0.274
Hf: 0.728 0.444 0.173
Hf: 0.272 0.556 0.827
Hf: 0.781 0.560 0.726
Zr: 0.720 0.056 0.776
Zr: 0.280 0.944 0.224
P: 0.625 0.746 0.370
P: 0.375 0.254 0.630

- Energy above the lowest structure with this stoichiometry: 0 meV/atom
- E_tot: -9.235 eV/atom
- Space group: C2/m, No. 12
- ΔH_f (0 K): -45.43 kJ/mol of atoms
- Fermi-level density of states: 9.1 states/eV per cell

=====

A relaxed structure of Hf3Zr2P2. Source: Alexandria via LeMat-Bulk, functional PBE.

a b c (Å): 3.564 5.793 7.360
angles (deg): 109.26 90.00 107.92
Fractional coordinates of all 7 atoms:
P: 0.169 0.339 0.208
P: 0.831 0.661 0.792
Hf: 0.375 0.750 0.551
Hf: 0.500 0.000 0.000
Hf: 0.625 0.250 0.449
Zr: 0.159 0.318 0.816
Zr: 0.841 0.682 0.184

- E_tot: -9.111 eV/atom
- Space group: C2/m, No. 12
- ΔH_f (0 K): -82.70 kJ/mol of atoms
- Fermi-level density of states: 5.6 states/eV per cell

=====

A relaxed structure of Hf3ZrP4. Source: Alexandria via LeMat-Bulk, functional PBE.

a b c (Å): 6.432 6.434 7.412
angles (deg): 90.00 90.00 109.34
Fractional coordinates of all 16 atoms:
Hf: 0.250 0.000 0.626
Hf: 0.250 0.500 0.374
Hf: 0.750 0.500 0.124
Hf: 0.750 0.000 0.374
Hf: 0.750 0.500 0.626
Hf: 0.250 0.500 0.876
P: 0.500 0.747 0.127
P: 0.000 0.747 0.873
P: 0.998 0.749 0.377
P: 0.000 0.253 0.127
P: 0.500 0.253 0.873
P: 0.498 0.749 0.623
P: 0.502 0.251 0.377
P: 0.002 0.251 0.623
Zr: 0.750 0.000 0.876
Zr: 0.250 0.000 0.124

- E_tot: -8.770 eV/atom
- Space group: P2/c, No. 13
- ΔH_f (0 K): -121.92 kJ/mol of atoms
- Fermi-level density of states: 4.8 states/eV per cell

=====

A relaxed structure of HfZr3P. Source: Alexandria via LeMat-Bulk, functional PBE.

a b c (Å): 5.116 5.116 5.116
angles (deg): 90.00 90.00 90.00
Fractional coordinates of all 5 atoms:
Zr: 0.000 0.500 0.000
Zr: 0.500 0.000 0.000
Zr: 0.000 0.000 0.500
Hf: 0.000 0.000 0.000
P: 0.500 0.500 0.500

- Energy above the lowest structure with this stoichiometry: 1534 meV/atom
- E_tot: -6.940 eV/atom
- Space group: Pm-3m, No. 221
- ΔH_f (0 K): 121.74 kJ/mol of atoms
- Fermi-level density of states: 7.7 states/eV per cell

=====

A relaxed structure of HfZrP2. Source: Alexandria via LeMat-Bulk, functional PBE.

a b c (Å): 5.840 5.840 7.143
angles (deg): 65.87 65.87 90.00
Fractional coordinates of all 8 atoms:
Zr: 0.250 0.750 0.500
Zr: 0.500 0.500 0.000
P: 0.375 0.370 0.750
P: 0.630 0.125 0.250
P: 0.120 0.625 0.250
P: 0.875 0.880 0.750
Hf: 0.000 0.000 0.000
Hf: 0.750 0.250 0.500

- Energy above the lowest structure with this stoichiometry: 692 meV/atom
- E_tot: -7.952 eV/atom
- Space group: I-42d, No. 122
- ΔH_f (0 K): -60.01 kJ/mol of atoms
- Fermi-level density of states: 4.6 states/eV per cell